1.
Below is an optimized crystal structure of K2ReIr, with properties calculated at the GGA-PBE level.

Results
The crystal system is tetragonal. The total moment comes out at 0.0 μB per formula unit. The formation energy is 1.19 eV/atom. The calculation puts the energy above the most stable polymorph in this dataset at 0.626 eV/atom.

a = 2.694 Å, b = 2.694 Å, c = 11.355 Å
α = 90.00°, β = 90.00°, γ = 90.00°
Fractional positions:
K: 0.000 0.000 0.241
K: 0.000 0.000 0.759
Re: 0.500 0.500 0.500
Ir: 0.500 0.500 0.000

---

2.
Below is an optimized crystal structure of Mg3Si6Rh5, with properties calculated at the GGA-PBE level.

Results
The crystal system is orthorhombic. The total moment comes out at 0.0 μB per formula unit.

a = 3.780 Å, b = 11.983 Å, c = 9.420 Å
α = 90.00°, β = 90.00°, γ = 90.00°
Fractional positions:
Mg: 0.250 0.054 0.244
Mg: 0.250 0.446 0.244
Mg: 0.250 0.750 0.305
Mg: 0.750 0.250 0.695
Mg: 0.750 0.554 0.756
Mg: 0.750 0.946 0.756
Si: 0.250 0.068 0.575
Si: 0.250 0.250 0.005
Si: 0.250 0.250 0.384
Si: 0.250 0.432 0.575
Si: 0.250 0.586 0.993
Si: 0.250 0.914 0.993
Si: 0.750 0.086 0.007
Si: 0.750 0.414 0.007
Si: 0.750 0.568 0.425
Si: 0.750 0.750 0.616
Si: 0.750 0.750 0.995
Si: 0.750 0.932 0.425
Rh: 0.250 0.093 0.846
Rh: 0.250 0.407 0.846
Rh: 0.250 0.633 0.569
Rh: 0.250 0.750 0.836
Rh: 0.250 0.867 0.569
Rh: 0.750 0.133 0.431
Rh: 0.750 0.250 0.164
Rh: 0.750 0.367 0.431
Rh: 0.750 0.593 0.154
Rh: 0.750 0.907 0.154

---

3.
Below is an optimized crystal structure of RbMg4Pb12, with properties calculated at the GGA-PBE level.

Results
The crystal system is cubic. The total moment comes out at 0.0 μB per formula unit. The formation energy is 0.14 eV/atom.

a = 9.031 Å, b = 9.031 Å, c = 9.031 Å
α = 109.47°, β = 109.47°, γ = 109.47°
Fractional positions:
Rb: 0.000 0.000 0.000
Mg: 0.000 0.000 0.500
Mg: 0.000 0.500 0.000
Mg: 0.500 0.000 0.000
Mg: 0.500 0.500 0.500
Pb: 0.160 0.355 0.515
Pb: 0.160 0.645 0.806
Pb: 0.194 0.840 0.355
Pb: 0.355 0.194 0.840
Pb: 0.355 0.515 0.160
Pb: 0.485 0.840 0.645
Pb: 0.515 0.160 0.355
Pb: 0.645 0.485 0.840
Pb: 0.645 0.806 0.160
Pb: 0.806 0.160 0.645
Pb: 0.840 0.355 0.194
Pb: 0.840 0.645 0.485

---

4.
Below is an optimized crystal structure of Al2GaFeRh, with properties calculated at the GGA-PBE level.

Results
The crystal system is tetragonal. The total moment comes out at 3.2 μB per formula unit. The formation energy is 0.89 eV/atom.

a = 4.613 Å, b = 4.613 Å, c = 4.547 Å
α = 90.00°, β = 90.00°, γ = 90.00°
Fractional positions:
Al: 0.000 0.500 0.000
Al: 0.500 0.000 0.000
Ga: 0.000 0.000 0.000
Fe: 0.500 0.500 0.500
Rh: 0.000 0.000 0.500

---

5.
Below is an optimized crystal structure of PrSmY2Te6, with properties calculated at the GGA-PBE level.

Results
The crystal system is trigonal. The total moment comes out at 0.0 μB per formula unit.

a = 8.403 Å, b = 8.403 Å, c = 8.403 Å
α = 55.56°, β = 55.56°, γ = 55.56°
Fractional positions:
Pr: 0.000 0.000 0.000
Sm: 0.498 0.498 0.498
Y: 0.309 0.309 0.309
Y: 0.810 0.810 0.810
Te: 0.083 0.699 0.420
Te: 0.207 0.582 0.912
Te: 0.420 0.083 0.699
Te: 0.582 0.912 0.207
Te: 0.699 0.420 0.083
Te: 0.912 0.207 0.582

---

6.
Below is an optimized crystal structure of HoCrN2, with properties calculated at the GGA-PBE level.

Results
The crystal system is trigonal. The total moment comes out at 1.0 μB per formula unit.

a = 5.686 Å, b = 5.686 Å, c = 5.686 Å
α = 31.57°, β = 31.57°, γ = 31.57°
Fractional positions:
Ho: 0.000 0.000 0.000
Cr: 0.175 0.175 0.175
N: 0.432 0.432 0.432
N: 0.577 0.577 0.577

---

7.
Below is an optimized crystal structure of BaLa2Ir, with properties calculated at the GGA-PBE level.

Results
The crystal system is tetragonal. The total moment comes out at 0.0 μB per formula unit. The formation energy is -0.29 eV/atom. The calculation puts the energy above the most stable polymorph in this dataset at 0.171 eV/atom.

a = 3.715 Å, b = 3.715 Å, c = 10.420 Å
α = 90.00°, β = 90.00°, γ = 90.00°
Fractional positions:
Ba: 0.000 0.000 0.000
La: 0.500 0.500 0.345
La: 0.500 0.500 0.655
Ir: 0.000 0.000 0.500

---

8.
Below is an optimized crystal structure of LiRePb2, with properties calculated at the GGA-PBE level.

Results
The crystal system is cubic. The total moment comes out at 0.0 μB per formula unit. The formation energy is 0.57 eV/atom. The calculation puts the energy above the most stable polymorph in this dataset at 0.106 eV/atom.

a = 4.848 Å, b = 4.848 Å, c = 4.848 Å
α = 60.00°, β = 60.00°, γ = 60.00°
Fractional positions:
Li: 0.000 0.000 0.000
Re: 0.500 0.500 0.500
Pb: 0.250 0.250 0.250
Pb: 0.750 0.750 0.750

---

9.
Below is an optimized crystal structure of La2Ho3Au2, with properties calculated at the GGA-PBE level.

Results
The crystal system is monoclinic. The total moment comes out at 0.0 μB per formula unit. The formation energy is -0.51 eV/atom.

a = 6.773 Å, b = 6.773 Å, c = 9.319 Å
α = 116.04°, β = 116.04°, γ = 32.33°
Fractional positions:
La: 0.153 0.153 0.316
La: 0.847 0.847 0.684
Ho: 0.384 0.384 0.054
Ho: 0.500 0.500 0.500
Ho: 0.616 0.616 0.946
Au: 0.163 0.163 0.737
Au: 0.837 0.837 0.263

---

10.
Below is an optimized crystal structure of SbI2NO, with properties calculated at the GGA-PBE level.

Results
The crystal system is tetragonal. The total moment comes out at 2.4 μB per formula unit. The calculation puts the energy above the most stable polymorph in this dataset at 0.574 eV/atom.

a = 5.473 Å, b = 5.473 Å, c = 3.823 Å
α = 90.00°, β = 90.00°, γ = 90.00°
Fractional positions:
Sb: 0.000 0.000 0.000
I: 0.000 0.500 0.500
I: 0.500 0.000 0.500
N: 0.500 0.500 0.000
O: 0.500 0.500 0.500

---

11.
Below is an optimized crystal structure of Tb2Nd4Sm5, with properties calculated at the GGA-PBE level.

Results
The crystal system is monoclinic. The total moment comes out at 0.0 μB per formula unit. The formation energy is 0.10 eV/atom. The calculation puts the energy above the most stable polymorph in this dataset at 0.000 eV/atom.

a = 12.311 Å, b = 12.311 Å, c = 8.797 Å
α = 94.44°, β = 94.44°, γ = 16.67°
Fractional positions:
Tb: 0.087 0.087 0.197
Tb: 0.913 0.913 0.803
Nd: 0.226 0.226 0.326
Nd: 0.459 0.459 0.155
Nd: 0.541 0.541 0.845
Nd: 0.774 0.774 0.674
Sm: 0.000 0.000 0.500
Sm: 0.315 0.315 0.025
Sm: 0.370 0.370 0.453
Sm: 0.630 0.630 0.547
Sm: 0.685 0.685 0.975

---

12.
Below is an optimized crystal structure of Tl4HgPb10, with properties calculated at the GGA-PBE level.

Results
The crystal system is tetragonal. The total moment comes out at 0.0 μB per formula unit. The formation energy is 0.13 eV/atom.

a = 8.796 Å, b = 8.796 Å, c = 8.796 Å
α = 105.22°, β = 105.22°, γ = 118.35°
Fractional positions:
Tl: 0.059 0.771 0.829
Tl: 0.229 0.059 0.288
Tl: 0.771 0.941 0.712
Tl: 0.941 0.229 0.171
Hg: 0.500 0.500 0.000
Pb: 0.090 0.416 0.889
Pb: 0.201 0.090 0.673
Pb: 0.250 0.750 0.500
Pb: 0.416 0.527 0.327
Pb: 0.473 0.799 0.889
Pb: 0.527 0.201 0.111
Pb: 0.584 0.473 0.673
Pb: 0.750 0.250 0.500
Pb: 0.799 0.910 0.327
Pb: 0.910 0.584 0.111

---

13.
Below is an optimized crystal structure of Pr6RuPt2Br3, with properties calculated at the GGA-PBE level.

Results
The crystal system is monoclinic. The total moment comes out at 0.0 μB per formula unit.

a = 10.154 Å, b = 10.154 Å, c = 9.230 Å
α = 109.88°, β = 109.88°, γ = 23.95°
Fractional positions:
Pr: 0.009 0.009 0.213
Pr: 0.324 0.324 0.445
Pr: 0.351 0.351 0.895
Pr: 0.649 0.649 0.105
Pr: 0.676 0.676 0.555
Pr: 0.991 0.991 0.787
Ru: 0.500 0.500 0.000
Pt: 0.168 0.168 0.335
Pt: 0.832 0.832 0.665
Br: 0.166 0.166 0.831
Br: 0.500 0.500 0.500
Br: 0.834 0.834 0.169

---

14.
Below is an optimized crystal structure of NaSrCa2, with properties calculated at the GGA-PBE level.

Results
The crystal system is trigonal. The total moment comes out at 0.0 μB per formula unit. The formation energy is 0.06 eV/atom. The calculation puts the energy above the most stable polymorph in this dataset at 0.023 eV/atom.

a = 13.109 Å, b = 13.109 Å, c = 13.109 Å
α = 17.51°, β = 17.51°, γ = 17.51°
Fractional positions:
Na: 0.000 0.000 0.000
Sr: 0.500 0.500 0.500
Ca: 0.253 0.253 0.253
Ca: 0.747 0.747 0.747

---

15.
Below is an optimized crystal structure of YTlN2F, with properties calculated at the GGA-PBE level.

Results
The crystal system is tetragonal. The total moment comes out at 0.2 μB per formula unit. The calculation puts the energy above the most stable polymorph in this dataset at 0.417 eV/atom.

a = 4.279 Å, b = 4.279 Å, c = 4.328 Å
α = 90.00°, β = 90.00°, γ = 90.00°
Fractional positions:
Y: 0.000 0.000 0.000
Tl: 0.500 0.500 0.500
N: 0.000 0.500 0.500
N: 0.500 0.000 0.500
F: 0.500 0.500 0.000

---

16.
Below is an optimized crystal structure of TaCu2W, with properties calculated at the GGA-PBE level.

Results
The crystal system is orthorhombic. The total moment comes out at 0.0 μB per formula unit. The formation energy is 0.23 eV/atom. The calculation puts the energy above the most stable polymorph in this dataset at 0.091 eV/atom.

a = 2.755 Å, b = 3.778 Å, c = 5.705 Å
α = 90.00°, β = 90.00°, γ = 90.00°
Fractional positions:
Ta: 0.000 0.000 0.000
Cu: 0.000 0.000 0.523
Cu: 0.500 0.500 0.739
W: 0.500 0.500 0.276

---

17.
Below is an optimized crystal structure of Mg2CrOs, with properties calculated at the GGA-PBE level.

Results
The crystal system is orthorhombic. The total moment comes out at 0.0 μB per formula unit. The formation energy is 0.47 eV/atom. The calculation puts the energy above the most stable polymorph in this dataset at 0.382 eV/atom.

a = 2.666 Å, b = 2.666 Å, c = 8.983 Å
α = 90.00°, β = 90.00°, γ = 106.87°
Fractional positions:
Mg: 0.000 0.000 0.249
Mg: 0.000 0.000 0.751
Cr: 0.500 0.500 0.000
Os: 0.500 0.500 0.500

---

18.
Below is an optimized crystal structure of CeUFe2, with properties calculated at the GGA-PBE level.

Results
The crystal system is orthorhombic. The total moment comes out at 0.0 μB per formula unit. The formation energy is -0.16 eV/atom.

a = 6.082 Å, b = 4.815 Å, c = 9.604 Å
α = 90.00°, β = 90.00°, γ = 90.00°
Fractional positions:
Ce: 0.181 0.250 0.144
Ce: 0.319 0.750 0.644
Ce: 0.681 0.250 0.356
Ce: 0.819 0.750 0.856
U: 0.044 0.250 0.637
U: 0.456 0.750 0.137
U: 0.544 0.250 0.863
U: 0.956 0.750 0.363
Fe: 0.090 0.250 0.858
Fe: 0.214 0.250 0.441
Fe: 0.286 0.750 0.941
Fe: 0.410 0.750 0.358
Fe: 0.590 0.250 0.642
Fe: 0.714 0.250 0.059
Fe: 0.786 0.750 0.559
Fe: 0.910 0.750 0.142

---

19.
Below is an optimized crystal structure of Rb3Zn2Se4, with properties calculated at the GGA-PBE level.

Results
The crystal system is triclinic. The total moment comes out at 1.0 μB per formula unit. The calculation puts the energy above the most stable polymorph in this dataset at 0.000 eV/atom.

a = 4.362 Å, b = 8.245 Å, c = 9.241 Å
α = 115.58°, β = 103.63°, γ = 90.02°
Fractional positions:
Rb: 0.000 0.000 0.000
Rb: 0.131 0.548 0.263
Rb: 0.869 0.452 0.737
Zn: 0.327 0.050 0.655
Zn: 0.673 0.950 0.345
Se: 0.212 0.146 0.422
Se: 0.472 0.286 0.943
Se: 0.528 0.714 0.057
Se: 0.788 0.854 0.578

---

20.
Below is an optimized crystal structure of PrSm7Y12, with properties calculated at the GGA-PBE level.

Results
The crystal system is cubic. The total moment comes out at 0.0 μB per formula unit. The formation energy is 0.64 eV/atom.

a = 9.813 Å, b = 9.813 Å, c = 9.813 Å
α = 109.47°, β = 109.47°, γ = 109.47°
Fractional positions:
Pr: 0.000 0.000 0.000
Sm: 0.000 0.000 0.500
Sm: 0.000 0.500 0.000
Sm: 0.000 0.500 0.500
Sm: 0.500 0.000 0.000
Sm: 0.500 0.000 0.500
Sm: 0.500 0.500 0.000
Sm: 0.500 0.500 0.500
Y: 0.000 0.251 0.749
Y: 0.000 0.749 0.251
Y: 0.251 0.000 0.749
Y: 0.251 0.251 0.503
Y: 0.251 0.503 0.251
Y: 0.251 0.749 0.000
Y: 0.497 0.749 0.749
Y: 0.503 0.251 0.251
Y: 0.749 0.000 0.251
Y: 0.749 0.251 0.000
Y: 0.749 0.497 0.749
Y: 0.749 0.749 0.497

---

21.
Below is an optimized crystal structure of CsAcP4, with properties calculated at the GGA-PBE level.

Results
The crystal system is cubic. The total moment comes out at 0.0 μB per formula unit. The formation energy is -0.11 eV/atom.

a = 5.792 Å, b = 5.792 Å, c = 5.792 Å
α = 60.00°, β = 60.00°, γ = 60.00°
Fractional positions:
Cs: 0.000 0.000 0.000
Ac: 0.750 0.750 0.750
P: 0.390 0.390 0.390
P: 0.390 0.390 0.830
P: 0.390 0.830 0.390
P: 0.830 0.390 0.390

---

22.
Below is an optimized crystal structure of Pm3Ho3ErS8, with properties calculated at the GGA-PBE level.

Results
The crystal system is trigonal. The total moment comes out at 0.0 μB per formula unit.

a = 7.929 Å, b = 7.929 Å, c = 7.929 Å
α = 59.42°, β = 59.42°, γ = 59.42°
Fractional positions:
Pm: 0.000 0.500 0.500
Pm: 0.500 0.000 0.500
Pm: 0.500 0.500 0.000
Ho: 0.000 0.000 0.500
Ho: 0.000 0.500 0.000
Ho: 0.500 0.000 0.000
Er: 0.500 0.500 0.500
S: 0.245 0.746 0.746
S: 0.246 0.246 0.246
S: 0.254 0.254 0.755
S: 0.254 0.755 0.254
S: 0.746 0.245 0.746
S: 0.746 0.746 0.245
S: 0.754 0.754 0.754
S: 0.755 0.254 0.254

---

Number 1: total DFT energy (no corrections) -18.750 eV for the cell shown. Number 2: total DFT energy (no corrections) -165.528 eV for the cell shown. Number 3: total DFT energy (no corrections) -49.546 eV for the cell shown. Number 4: total DFT energy (no corrections) -21.864 eV for the cell shown. Number 5: total DFT energy (no corrections) -55.096 eV for the cell shown. Number 6: total DFT energy (no corrections) -33.522 eV for the cell shown. Number 7: total DFT energy (no corrections) -21.799 eV for the cell shown. Number 8: total DFT energy (no corrections) -19.489 eV for the cell shown. Number 9: total DFT energy (no corrections) -33.694 eV for the cell shown. Number 10: total DFT energy (no corrections) -13.823 eV for the cell shown. Number 11: total DFT energy (no corrections) -50.838 eV for the cell shown. Number 12: total DFT energy (no corrections) -44.882 eV for the cell shown. Number 13: total DFT energy (no corrections) -68.338 eV for the cell shown. Number 14: total DFT energy (no corrections) -6.779 eV for the cell shown. Number 15: total DFT energy (no corrections) -27.212 eV for the cell shown. Number 16: total DFT energy (no corrections) -32.075 eV for the cell shown. Number 17: total DFT energy (no corrections) -22.172 eV for the cell shown. Number 18: total DFT energy (no corrections) -139.182 eV for the cell shown. Number 19: total DFT energy (no corrections) -27.139 eV for the cell shown. Number 20: total DFT energy (no corrections) -102.653 eV for the cell shown. Number 21: total DFT energy (no corrections) -27.242 eV for the cell shown. Number 22: total DFT energy (no corrections) -96.371 eV for the cell shown.